Entry 1:
A plane-wave DFT calculation with PBE-GGA was carried out for an optimized crystal structure of PmSmDyTm.

Unit cell a=8.0579 b=8.0579 c=8.0579 alpha=90.00 beta=90.00 gamma=90.00
Space group F-43m (No. 216)
Inequivalent atoms, fractional coordinates:
Pm: 0.0000 0.0000 0.0000 x4
Sm: 0.0000 0.0000 0.5000 x4
Dy: 0.2500 0.2500 0.2500 x4
Tm: 0.2500 0.2500 0.7500 x4

Values from the calculation:
Volume (A^3/atom): 32.7
Polymorph energy (0 for the lowest one) (meV/atom): 4
ΔE_f (eV/atom): 0.12
Raw total energy (eV/atom): -4.517

---

Entry 2:
A plane-wave DFT calculation with PBE-GGA was carried out for an optimized crystal structure of Pr3Nd6DyHo2.

Unit cell a=6.3370 b=10.9804 c=12.0694 alpha=90.00 beta=100.10 gamma=90.00
Space group C2/m (No. 12)
Inequivalent atoms, fractional coordinates:
Pr: 0.0000 0.0000 0.0000 x2
Pr: 0.0000 0.3333 0.0000 x4
Nd: 0.2488 0.0000 0.7447 x4
Nd: 0.2489 0.3333 0.7447 x8
Dy: 0.0000 0.5000 0.5000 x2
Ho: 0.0000 0.1666 0.5000 x4

Values from the calculation:
Volume (A^3/atom): 34.5
ΔE_f (eV/atom): 0.02
Raw total energy (eV/atom): -4.709